(1)
Y2Zn2As: relaxed, GGA-PBE.

```
Y2Zn2As
1.0
7.070 0.000 0.000
0.000 7.070 0.000
0.000 0.000 4.383
Y Zn As
4 4 2
Cartesian
1.210 2.325 0.000
2.325 5.860 0.000
4.745 1.210 0.000
5.860 4.745 0.000
0.885 4.420 2.191
2.650 0.885 2.191
4.420 6.186 2.191
6.186 2.650 2.191
0.000 0.000 2.191
3.535 3.535 2.191
```

- calculated density (g cm⁻³) = 5.81
- crystal system = tetragonal
- space group = P4/mbm, No. 127
- relative energy among the computed polymorphs (meV/atom) = 0.0
- DFT formation energy (meV per atom) = -507



(2)
Nd4BrN2: relaxed, GGA-PBE.

```
Nd4BrN2
1.0
1.846 1.066 13.804
-1.846 1.066 13.804
0.000 -2.131 13.804
Nd Br N
4 1 2
Cartesian
0.000 0.000 5.072
0.000 0.000 11.425
0.000 0.000 29.987
0.000 0.000 36.340
0.000 0.000 0.000
0.000 0.000 17.476
0.000 0.000 23.935
```

- calculated density (g cm⁻³) = 6.98
- crystal system = trigonal
- E_form (uncorrected) (eV/f.u.) = -8.16
- space group = R-3m, No. 166



(3)
KBaMg2Hg: relaxed, GGA-PBE.

```
KBaMg2Hg
1.0
6.087 0.000 0.000
0.000 6.087 0.000
0.000 0.000 5.987
K Ba Mg Hg
1 1 2 1
Cartesian
0.000 0.000 0.000
3.043 3.043 2.994
0.000 3.043 0.000
3.043 0.000 0.000
0.000 0.000 2.994
```

- calculated density (g cm⁻³) = 3.19
- crystal system = tetragonal
- space group = P4/mmm, No. 123
- DFT formation energy (meV per atom) = 389



(4)
CaMg2Te: relaxed, GGA-PBE.

```
CaMg2Te
1.0
4.233 0.000 0.000
0.000 4.111 0.000
-2.101 0.000 6.700
Ca Mg Te
1 2 1
Cartesian
0.000 0.000 0.000
0.014 2.055 4.604
2.133 0.000 3.411
2.116 2.055 1.117
```

- calculated density (g cm⁻³) = 3.08
- crystal system = monoclinic
- E_form (uncorrected) (eV/f.u.) = -2.13
- space group = Pm, No. 6



no.,E (eV per atom),Fermi-level density of states (states/eV per cell)
1,-4.53,10.27
2,-6.51,4.17
3,-0.91,4.98
4,-2.62,0.63